! CrBiMo2Au (PBE, relaxed); values from VASP
! Fermi-level density of states in states/eV per atom: 1.06
! Calculated volume in Å³/f.u.: 124.8
! ΔH_f (0 K) in eV per formula unit: 7.916
&SYSTEM
  ibrav = 0, nat = 5, ntyp = 4
/
ATOMIC_SPECIES
Cr 52.00 Cr.upf
Mo 95.94 Mo.upf
Au 196.97 Au.upf
Bi 208.98 Bi.upf
CELL_PARAMETERS angstrom
-4.9755 0.4873 -0.7574
0.4955 -2.0695 -4.5867
-0.7259 -4.4279 1.9194
ATOMIC_POSITIONS crystal
Cr 0.0000 0.0000 0.5000
Mo 0.0000 0.5000 0.0000
Mo 0.5000 0.0000 0.0000
Au 0.0000 0.0000 0.0000
Bi 0.5000 0.5000 0.5000